1.
CaPm3Si3 (GGA-PBE, optimized geometry); uncorrected formation energy = -462 meV/atom; magnetic moment = 0.00 μB/f.u.
1.0
8.932 0.000 0.000
4.466 7.735 0.000
4.466 2.578 5.928
Ca Pm Si
2 6 6
Cartesian
4.466 2.578 0.067
13.398 7.735 5.861
10.198 7.998 4.321
10.759 2.640 4.321
5.839 4.833 4.321
12.025 5.481 1.607
7.105 7.674 1.607
7.666 2.316 1.607
6.036 4.929 1.341
10.578 2.763 1.341
10.183 7.779 1.341
7.682 2.535 4.587
7.287 7.551 4.587
11.828 5.385 4.587

=====

2.
Mg2MnCoCu (GGA-PBE, optimized geometry); E_form = 724.8 meV/atom; magnetic moment = 5.28 μB/f.u.
1.0
-3.737 1.136 -2.579
2.029 -1.573 -3.633
-1.839 -4.228 0.804
Mg Mn Co Cu
2 1 1 1
Cartesian
-0.920 -2.114 0.402
-1.868 0.568 -1.289
-1.774 -2.333 -2.704
0.000 0.000 0.000
1.014 -0.787 -1.817

=====

3.
NiHPt2 (GGA-PBE, optimized geometry); magnetic moment = 1.01 μB/f.u.; distance to the lowest polymorph of the same formula = 0.4211 eV per atom
1.0
0.000 2.894 2.894
2.894 0.000 2.894
2.894 2.894 0.000
Ni Pt H
1 2 1
Cartesian
2.894 2.894 2.894
1.447 1.447 1.447
4.341 4.341 4.341
0.000 0.000 0.000